MnCrHg (PBE-GGA, optimized geometry); formation energy from the elements = 640 meV per atom; polymorph energy (0 for the lowest one) = 0.385 eV/atom
1.0
-2.067 -3.656 1.181
1.379 -3.863 -1.487
1.931 -2.819 2.714
Cr Hg Mn
1 1 1
direct
0.000 0.000 0.000
0.500 0.500 0.500
0.250 0.250 0.250